Material: Nd4SbS2N
Method: DFT, PBE-GGA
State: optimized geometry

Output
uncorrected energy = -209.49 eV for the cell shown
raw formation energy = -1.57 eV per atom
calculated volume = 25.682 Å³/atom
magnetic moment = 0.00 Bohr magnetons per cell

Lattice parameters (Å, degrees): 4.1381 13.9058 14.2820 90.00 90.00 90.00
With the nearest neighbours (Å) after each atom.
Space group Cmcm (No. 63)
One atom of each set of equivalent atoms:
Nd: 0.0000 0.0000 0.0000 x4  4 S 2.89
Nd: 0.0000 0.2629 0.1251 x8  1 N 2.27
Nd: 0.0000 0.4248 0.7500 x4  2 N 2.39
Sb: 0.0000 0.1058 0.7500 x4  6 Nd 3.26-3.29
S: 0.0000 0.3670 0.5554 x8  6 Nd 2.89-2.96
N: 0.0000 0.1617 0.2500 x4  4 Nd 2.27-2.39